A geometry-optimized TiMnNO2 structure, computed with PBE with a Hubbard U.

extended XYZ file:
```
5
Lattice="3.658 0.000 0.000 0.000 3.658 0.000 0.000 0.000 3.886" Properties=species:S:1:pos:R:3 pbc="T T T"
O 0.000 1.829 0.000
Ti 1.829 1.829 1.943
Mn 0.000 0.000 0.000
N 0.000 0.000 1.943
O 1.829 0.000 0.000
```

Summary:
space-group type	No. 123
size of the total moment	2.67	μB/f.u.
crystal system	tetragonal
electronic total energy	-7.389	eV/atom